{"formula": "RbIr2I2", "functional": "PBE", "state": "relaxed", "lattice": [[4.174, 0.000, 0.000], [0.000, 4.174, 0.000], [0.000, 0.000, 15.418]], "species": ["Rb", "Rb", "Ir", "Ir", "Ir", "Ir", "I", "I", "I", "I"], "frac_coords": [[0.000, 0.000, 0.000], [0.500, 0.500, 0.500], [0.000, 0.500, 0.250], [0.000, 0.500, 0.750], [0.500, 0.000, 0.250], [0.500, 0.000, 0.750], [0.000, 0.000, 0.362], [0.000, 0.000, 0.638], [0.500, 0.500, 0.138], [0.500, 0.500, 0.862]], "e_form_raw_mev_per_atom": 493, "n_ef_per_ev_fu": 7.47, "crystal_system": "tetragonal", "final_energy_ev_per_fu": -19.325}